#w
First-principles (PBE) data for a relaxed structure of ZrTa3B, as listed in Alexandria via LeMat-Bulk.

```
data_ZrTa3B
_space_group_name_H-M_alt 'P 1'
_space_group_IT_number 1
_cell_length_a 4.455
_cell_length_b 4.455
_cell_length_c 4.455
_cell_angle_alpha 90.00
_cell_angle_beta 90.00
_cell_angle_gamma 90.00
loop_
_space_group_symop_operation_xyz
'x,y,z'
loop_
_atom_site_label
_atom_site_fract_x
_atom_site_fract_y
_atom_site_fract_z
Zr1 0.000 0.000 0.000
Ta1 0.000 0.500 0.500
Ta2 0.500 0.000 0.500
Ta3 0.500 0.500 0.000
B1 0.500 0.500 0.500
```

Properties
space-group type	Pm-3m (221)



#x
First-principles (PBE) data for a relaxed structure of ZrTa3B, as listed in Alexandria via LeMat-Bulk.

```
data_ZrTa3B
_space_group_name_H-M_alt 'P 1'
_space_group_IT_number 1
_cell_length_a 4.872
_cell_length_b 4.872
_cell_length_c 4.872
_cell_angle_alpha 90.00
_cell_angle_beta 90.00
_cell_angle_gamma 90.00
loop_
_space_group_symop_operation_xyz
'x,y,z'
loop_
_atom_site_label
_atom_site_fract_x
_atom_site_fract_y
_atom_site_fract_z
Zr1 0.000 0.000 0.000
Ta1 0.000 0.000 0.500
Ta2 0.000 0.500 0.000
Ta3 0.500 0.000 0.000
B1 0.500 0.500 0.500
```

Properties
space-group type	Pm-3m (221)



Name the least stable of them. #x.



#w
First-principles (PBE) data for a relaxed structure of TbTc2B6, as listed in Alexandria via LeMat-Bulk.

```
data_TbTc2B6
_space_group_name_H-M_alt 'P 1'
_space_group_IT_number 1
_cell_length_a 5.676
_cell_length_b 5.676
_cell_length_c 5.676
_cell_angle_alpha 147.87
_cell_angle_beta 106.62
_cell_angle_gamma 82.36
loop_
_space_group_symop_operation_xyz
'x,y,z'
loop_
_atom_site_label
_atom_site_fract_x
_atom_site_fract_y
_atom_site_fract_z
Tb1 0.000 0.000 0.000
Tc1 0.339 0.839 0.500
Tc2 0.661 0.161 0.500
B1 0.066 0.310 0.756
B2 0.347 0.500 0.847
B3 0.447 0.690 0.756
B4 0.553 0.310 0.244
B5 0.653 0.500 0.153
B6 0.934 0.690 0.244
```

Properties
space-group type	Immm (71)



#x
First-principles (PBE) data for a relaxed structure of TbTc2B6, as listed in Alexandria via LeMat-Bulk.

```
data_TbTc2B6
_space_group_name_H-M_alt 'P 1'
_space_group_IT_number 1
_cell_length_a 5.323
_cell_length_b 5.323
_cell_length_c 3.533
_cell_angle_alpha 90.00
_cell_angle_beta 90.00
_cell_angle_gamma 120.00
loop_
_space_group_symop_operation_xyz
'x,y,z'
loop_
_atom_site_label
_atom_site_fract_x
_atom_site_fract_y
_atom_site_fract_z
Tb1 0.000 0.000 0.000
Tc1 0.333 0.667 0.000
Tc2 0.667 0.333 0.000
B1 0.000 0.341 0.500
B2 0.000 0.659 0.500
B3 0.341 0.000 0.500
B4 0.341 0.341 0.500
B5 0.659 0.000 0.500
B6 0.659 0.659 0.500
```

Properties
space-group type	P6/mmm (191)



Name the least stable of them. #x.



#w
First-principles (PBE) data for a relaxed structure of TcB, as listed in Alexandria via LeMat-Bulk.

```
data_TcB
_space_group_name_H-M_alt 'P 1'
_space_group_IT_number 1
_cell_length_a 5.225
_cell_length_b 5.225
_cell_length_c 5.225
_cell_angle_alpha 99.69
_cell_angle_beta 99.69
_cell_angle_gamma 131.55
loop_
_space_group_symop_operation_xyz
'x,y,z'
loop_
_atom_site_label
_atom_site_fract_x
_atom_site_fract_y
_atom_site_fract_z
Tc1 0.113 0.322 0.435
Tc2 0.322 0.887 0.208
Tc3 0.678 0.113 0.792
Tc4 0.887 0.678 0.565
B1 0.243 0.590 0.833
B2 0.410 0.243 0.652
B3 0.590 0.757 0.348
B4 0.757 0.410 0.167
```

Properties
space-group type	I4/m (87)



#x
First-principles (PBE) data for a relaxed structure of TcB, as listed in Alexandria via LeMat-Bulk.

```
data_TcB
_space_group_name_H-M_alt 'P 1'
_space_group_IT_number 1
_cell_length_a 2.731
_cell_length_b 2.731
_cell_length_c 2.731
_cell_angle_alpha 90.00
_cell_angle_beta 90.00
_cell_angle_gamma 90.00
loop_
_space_group_symop_operation_xyz
'x,y,z'
loop_
_atom_site_label
_atom_site_fract_x
_atom_site_fract_y
_atom_site_fract_z
Tc1 0.000 0.000 0.000
B1 0.500 0.500 0.500
```

Properties
space-group type	Pm-3m (221)



Name the least stable of them. #x.



#w
First-principles (PBE) data for a relaxed structure of TcB, as listed in Alexandria via LeMat-Bulk.

```
data_TcB
_space_group_name_H-M_alt 'P 1'
_space_group_IT_number 1
_cell_length_a 3.346
_cell_length_b 3.346
_cell_length_c 3.346
_cell_angle_alpha 60.00
_cell_angle_beta 60.00
_cell_angle_gamma 60.00
loop_
_space_group_symop_operation_xyz
'x,y,z'
loop_
_atom_site_label
_atom_site_fract_x
_atom_site_fract_y
_atom_site_fract_z
Tc1 0.000 0.000 0.000
B1 0.250 0.250 0.250
```

Properties
space-group type	F-43m (216)



#x
First-principles (PBE) data for a relaxed structure of TcB, as listed in Alexandria via LeMat-Bulk.

```
data_TcB
_space_group_name_H-M_alt 'P 1'
_space_group_IT_number 1
_cell_length_a 2.875
_cell_length_b 2.875
_cell_length_c 5.955
_cell_angle_alpha 90.00
_cell_angle_beta 90.00
_cell_angle_gamma 120.00
loop_
_space_group_symop_operation_xyz
'x,y,z'
loop_
_atom_site_label
_atom_site_fract_x
_atom_site_fract_y
_atom_site_fract_z
Tc1 0.000 0.000 0.000
Tc2 0.000 0.000 0.500
B1 0.333 0.667 0.250
B2 0.667 0.333 0.750
```

Properties
space-group type	P6_3/mmc (194)



#y
First-principles (PBE) data for a relaxed structure of TcB, as listed in Alexandria via LeMat-Bulk.

```
data_TcB
_space_group_name_H-M_alt 'P 1'
_space_group_IT_number 1
_cell_length_a 3.644
_cell_length_b 3.644
_cell_length_c 4.291
_cell_angle_alpha 90.00
_cell_angle_beta 90.00
_cell_angle_gamma 120.00
loop_
_space_group_symop_operation_xyz
'x,y,z'
loop_
_atom_site_label
_atom_site_fract_x
_atom_site_fract_y
_atom_site_fract_z
Tc1 0.333 0.667 0.250
Tc2 0.667 0.333 0.750
B1 0.333 0.667 0.750
B2 0.667 0.333 0.250
```

Properties
space-group type	P6_3/mmc (194)



Name the least stable of them. #w.



#w
First-principles (PBE) data for a relaxed structure of TcB, as listed in Alexandria via LeMat-Bulk.

```
data_TcB
_space_group_name_H-M_alt 'P 1'
_space_group_IT_number 1
_cell_length_a 4.278
_cell_length_b 10.297
_cell_length_c 2.969
_cell_angle_alpha 90.00
_cell_angle_beta 90.00
_cell_angle_gamma 90.00
loop_
_space_group_symop_operation_xyz
'x,y,z'
loop_
_atom_site_label
_atom_site_fract_x
_atom_site_fract_y
_atom_site_fract_z
Tc1 0.250 0.096 0.134
Tc2 0.250 0.404 0.134
Tc3 0.250 0.750 0.365
Tc4 0.750 0.250 0.635
Tc5 0.750 0.596 0.866
Tc6 0.750 0.904 0.866
B1 0.250 0.250 0.671
B2 0.250 0.576 0.740
B3 0.250 0.924 0.740
B4 0.750 0.076 0.260
B5 0.750 0.424 0.260
B6 0.750 0.750 0.329
```

Properties
space-group type	Pmmn (59)



#x
First-principles (PBE) data for a relaxed structure of TcB, as listed in Alexandria via LeMat-Bulk.

```
data_TcB
_space_group_name_H-M_alt 'P 1'
_space_group_IT_number 1
_cell_length_a 5.793
_cell_length_b 5.793
_cell_length_c 5.793
_cell_angle_alpha 90.00
_cell_angle_beta 90.00
_cell_angle_gamma 90.00
loop_
_space_group_symop_operation_xyz
'x,y,z'
loop_
_atom_site_label
_atom_site_fract_x
_atom_site_fract_y
_atom_site_fract_z
Tc1 0.000 0.250 0.500
Tc2 0.000 0.750 0.500
Tc3 0.250 0.500 0.000
Tc4 0.500 0.000 0.250
Tc5 0.500 0.000 0.750
Tc6 0.750 0.500 0.000
B1 0.000 0.500 0.250
B2 0.000 0.500 0.750
B3 0.250 0.000 0.500
B4 0.500 0.250 0.000
B5 0.500 0.750 0.000
B6 0.750 0.000 0.500
```

Properties
space-group type	Pm-3n (223)



#y
First-principles (PBE) data for a relaxed structure of TcB, as listed in Alexandria via LeMat-Bulk.

```
data_TcB
_space_group_name_H-M_alt 'P 1'
_space_group_IT_number 1
_cell_length_a 5.629
_cell_length_b 5.629
_cell_length_c 5.629
_cell_angle_alpha 109.47
_cell_angle_beta 109.47
_cell_angle_gamma 109.47
loop_
_space_group_symop_operation_xyz
'x,y,z'
loop_
_atom_site_label
_atom_site_fract_x
_atom_site_fract_y
_atom_site_fract_z
Tc1 0.000 0.000 0.311
Tc2 0.000 0.311 0.000
Tc3 0.311 0.000 0.000
Tc4 0.689 0.689 0.689
B1 0.000 0.000 0.676
B2 0.000 0.676 0.000
B3 0.324 0.324 0.324
B4 0.676 0.000 0.000
```

Properties
space-group type	I-43m (217)



#z
First-principles (PBE) data for a relaxed structure of TcB, as listed in Alexandria via LeMat-Bulk.

```
data_TcB
_space_group_name_H-M_alt 'P 1'
_space_group_IT_number 1
_cell_length_a 4.520
_cell_length_b 4.595
_cell_length_c 7.848
_cell_angle_alpha 90.00
_cell_angle_beta 90.00
_cell_angle_gamma 90.00
loop_
_space_group_symop_operation_xyz
'x,y,z'
loop_
_atom_site_label
_atom_site_fract_x
_atom_site_fract_y
_atom_site_fract_z
Tc1 0.152 0.110 0.264
Tc2 0.157 0.402 0.946
Tc3 0.343 0.598 0.446
Tc4 0.348 0.890 0.764
Tc5 0.652 0.390 0.736
Tc6 0.657 0.098 0.054
Tc7 0.843 0.902 0.554
Tc8 0.848 0.610 0.236
B1 0.112 0.912 0.013
B2 0.151 0.316 0.657
B3 0.349 0.684 0.157
B4 0.388 0.088 0.513
B5 0.612 0.588 0.987
B6 0.651 0.184 0.343
B7 0.849 0.816 0.843
B8 0.888 0.412 0.487
```

Properties
space-group type	P2_12_12_1 (19)



Name the least stable of them. #y.



#w
First-principles (PBE) data for a relaxed structure of TcB, as listed in Alexandria via LeMat-Bulk.

```
data_TcB
_space_group_name_H-M_alt 'P 1'
_space_group_IT_number 1
_cell_length_a 2.914
_cell_length_b 3.465
_cell_length_c 4.246
_cell_angle_alpha 90.00
_cell_angle_beta 109.90
_cell_angle_gamma 90.00
loop_
_space_group_symop_operation_xyz
'x,y,z'
loop_
_atom_site_label
_atom_site_fract_x
_atom_site_fract_y
_atom_site_fract_z
Tc1 0.142 0.250 0.281
Tc2 0.858 0.750 0.719
B1 0.434 0.250 0.857
B2 0.566 0.750 0.143
```

Properties
space-group type	P2_1/m (11)



#x
First-principles (PBE) data for a relaxed structure of TcB, as listed in Alexandria via LeMat-Bulk.

```
data_TcB
_space_group_name_H-M_alt 'P 1'
_space_group_IT_number 1
_cell_length_a 2.974
_cell_length_b 5.086
_cell_length_c 5.086
_cell_angle_alpha 106.63
_cell_angle_beta 90.00
_cell_angle_gamma 90.00
loop_
_space_group_symop_operation_xyz
'x,y,z'
loop_
_atom_site_label
_atom_site_fract_x
_atom_site_fract_y
_atom_site_fract_z
Tc1 0.000 0.000 0.000
Tc2 0.500 0.004 0.513
Tc3 0.500 0.513 0.004
B1 0.000 0.284 0.727
B2 0.000 0.727 0.284
B3 0.500 0.734 0.734
```

Properties
space-group type	Amm2 (38)



#y
First-principles (PBE) data for a relaxed structure of TcB, as listed in Alexandria via LeMat-Bulk.

```
data_TcB
_space_group_name_H-M_alt 'P 1'
_space_group_IT_number 1
_cell_length_a 2.882
_cell_length_b 2.882
_cell_length_c 2.945
_cell_angle_alpha 90.00
_cell_angle_beta 90.00
_cell_angle_gamma 120.00
loop_
_space_group_symop_operation_xyz
'x,y,z'
loop_
_atom_site_label
_atom_site_fract_x
_atom_site_fract_y
_atom_site_fract_z
Tc1 0.000 0.000 0.000
B1 0.333 0.667 0.500
```

Properties
space-group type	P-6m2 (187)



Name the least stable of them. #x.



#w
First-principles (PBE) data for a relaxed structure of TcB4, as listed in Alexandria via LeMat-Bulk.

```
data_TcB4
_space_group_name_H-M_alt 'P 1'
_space_group_IT_number 1
_cell_length_a 4.081
_cell_length_b 4.081
_cell_length_c 4.081
_cell_angle_alpha 90.00
_cell_angle_beta 90.00
_cell_angle_gamma 90.00
loop_
_space_group_symop_operation_xyz
'x,y,z'
loop_
_atom_site_label
_atom_site_fract_x
_atom_site_fract_y
_atom_site_fract_z
Tc1 0.000 0.000 0.000
B1 0.000 0.000 0.500
B2 0.000 0.500 0.000
B3 0.500 0.000 0.000
B4 0.500 0.500 0.500
```

Properties
space-group type	Pm-3m (221)



#x
First-principles (PBE) data for a relaxed structure of TcB4, as listed in Alexandria via LeMat-Bulk.

```
data_TcB4
_space_group_name_H-M_alt 'P 1'
_space_group_IT_number 1
_cell_length_a 5.287
_cell_length_b 5.287
_cell_length_c 6.551
_cell_angle_alpha 90.00
_cell_angle_beta 90.00
_cell_angle_gamma 120.00
loop_
_space_group_symop_operation_xyz
'x,y,z'
loop_
_atom_site_label
_atom_site_fract_x
_atom_site_fract_y
_atom_site_fract_z
Tc1 0.000 0.000 0.250
Tc2 0.000 0.000 0.750
Tc3 0.333 0.667 0.250
Tc4 0.667 0.333 0.750
B1 0.000 0.336 0.000
B2 0.000 0.336 0.500
B3 0.000 0.664 0.000
B4 0.000 0.664 0.500
B5 0.333 0.667 0.620
B6 0.333 0.667 0.880
B7 0.336 0.000 0.000
B8 0.336 0.000 0.500
B9 0.336 0.336 0.000
B10 0.336 0.336 0.500
B11 0.664 0.000 0.000
B12 0.664 0.000 0.500
B13 0.664 0.664 0.000
B14 0.664 0.664 0.500
B15 0.667 0.333 0.120
B16 0.667 0.333 0.380
```

Properties
space-group type	P6_3/mmc (194)



Name the least stable of them. #w.



#w
First-principles (PBE) data for a relaxed structure of Tc3B2, as listed in Alexandria via LeMat-Bulk.

```
data_Tc3B2
_space_group_name_H-M_alt 'P 1'
_space_group_IT_number 1
_cell_length_a 8.757
_cell_length_b 2.960
_cell_length_c 8.663
_cell_angle_alpha 90.00
_cell_angle_beta 90.00
_cell_angle_gamma 90.00
loop_
_space_group_symop_operation_xyz
'x,y,z'
loop_
_atom_site_label
_atom_site_fract_x
_atom_site_fract_y
_atom_site_fract_z
Tc1 0.067 0.250 0.131
Tc2 0.114 0.750 0.573
Tc3 0.201 0.250 0.815
Tc4 0.299 0.750 0.315
Tc5 0.386 0.250 0.073
Tc6 0.433 0.750 0.631
Tc7 0.567 0.250 0.369
Tc8 0.614 0.750 0.927
Tc9 0.701 0.250 0.685
Tc10 0.799 0.750 0.185
Tc11 0.886 0.250 0.427
Tc12 0.933 0.750 0.869
B1 0.047 0.750 0.326
B2 0.204 0.750 0.001
B3 0.296 0.250 0.501
B4 0.453 0.250 0.826
B5 0.547 0.750 0.174
B6 0.704 0.750 0.499
B7 0.796 0.250 0.999
B8 0.953 0.250 0.674
```

Properties
space-group type	Pnma (62)



#x
First-principles (PBE) data for a relaxed structure of Tc3B2, as listed in Alexandria via LeMat-Bulk.

```
data_Tc3B2
_space_group_name_H-M_alt 'P 1'
_space_group_IT_number 1
_cell_length_a 4.766
_cell_length_b 4.766
_cell_length_c 4.766
_cell_angle_alpha 143.51
_cell_angle_beta 118.67
_cell_angle_gamma 73.52
loop_
_space_group_symop_operation_xyz
'x,y,z'
loop_
_atom_site_label
_atom_site_fract_x
_atom_site_fract_y
_atom_site_fract_z
Tc1 0.000 0.000 0.000
Tc2 0.304 0.804 0.500
Tc3 0.696 0.196 0.500
B1 0.321 0.500 0.821
B2 0.679 0.500 0.179
```

Properties
space-group type	Immm (71)



Name the least stable of them. #x.